Entry 1:
Material: Dy3PuRu4
Method: DFT, GGA-PBE
State: relaxed

## Properties
Its formation enthalpy at 0 K is -0.303 eV/atom. For the electronic total energy, the calculation gives -67.67 eV/cell. The space group is C2/m, No. 12.

Cell lengths 7.5951, 7.5951, 4.7897 Å; angles 108.27, 108.27, 36.76 degrees
Positions (direct):
1 Dy 0.0000 0.0000 0.0000
2 Dy 0.2485 0.2485 0.2484
3 Dy 0.7515 0.7515 0.7516
4 Pu 0.5000 0.5000 0.5000
5 Ru 0.1192 0.1192 0.6191
6 Ru 0.3808 0.3808 0.8797
7 Ru 0.6192 0.6192 0.1203
8 Ru 0.8808 0.8808 0.3809



Entry 2:
Material: Pm8Ho3Tm2
Method: DFT, GGA-PBE
State: relaxed

## Properties
Its formation enthalpy at 0 K is 0.018 eV/atom. For the electronic total energy, the calculation gives -60.44 eV/cell. The space group is P-1, No. 2.

Cell lengths 6.2249, 6.2396, 11.3604 Å; angles 89.96, 79.41, 80.31 degrees
Positions (direct):
1 Pm 0.0399 0.0786 0.3477
2 Pm 0.1930 0.3846 0.7286
3 Pm 0.3452 0.6921 0.1161
4 Pm 0.4221 0.8460 0.8068
5 Pm 0.5779 0.1540 0.1932
6 Pm 0.6548 0.3079 0.8839
7 Pm 0.8070 0.6154 0.2714
8 Pm 0.9601 0.9214 0.6523
9 Ho 0.1139 0.2314 0.0385
10 Ho 0.5000 0.0000 0.5000
11 Ho 0.8861 0.7686 0.9615
12 Tm 0.2705 0.5390 0.4245
13 Tm 0.7295 0.4610 0.5755



Entry 3:
Material: AcPt2Au2
Method: DFT, GGA-PBE
State: relaxed

## Properties
Its formation enthalpy at 0 K is -0.646 eV/atom. For the electronic total energy, the calculation gives -25.98 eV/cell. The space group is I4/mmm, No. 139.

Cell lengths 6.9751, 6.9751, 6.9751 Å; angles 145.00, 145.00, 50.34 degrees
Positions (direct):
1 Ac 0.0000 0.0000 0.0000
2 Pt 0.3980 0.3980 0.0000
3 Pt 0.6020 0.6020 0.0000
4 Au 0.2500 0.7500 0.5000
5 Au 0.7500 0.2500 0.5000



Entry 4:
Material: Pr2AgHg8
Method: DFT, GGA-PBE
State: relaxed

## Properties
Its formation enthalpy at 0 K is -0.264 eV/atom. For the electronic total energy, the calculation gives -17.73 eV/cell. The space group is P4/mmm, No. 123.

Cell lengths 4.7739, 4.7739, 12.5841 Å; angles 90.00, 90.00, 90.00 degrees
Positions (direct):
1 Pr 0.0000 0.0000 0.1939
2 Pr 0.0000 0.0000 0.8061
3 Ag 0.0000 0.0000 0.5000
4 Hg 0.0000 0.5000 0.0000
5 Hg 0.0000 0.5000 0.3671
6 Hg 0.0000 0.5000 0.6329
7 Hg 0.5000 0.0000 0.0000
8 Hg 0.5000 0.0000 0.3671
9 Hg 0.5000 0.0000 0.6329
10 Hg 0.5000 0.5000 0.1749
11 Hg 0.5000 0.5000 0.8251



Entry 5:
Material: TaRe2Pt
Method: DFT, GGA-PBE
State: relaxed

## Properties
Its formation enthalpy at 0 K is -0.103 eV/atom. For the electronic total energy, the calculation gives -43.20 eV/cell. The space group is P4mm, No. 99.

Cell lengths 3.3392, 3.3392, 5.7454 Å; angles 90.00, 90.00, 90.00 degrees
Positions (direct):
1 Ta 0.0000 0.0000 0.0000
2 Re 0.0000 0.0000 0.5064
3 Re 0.5000 0.5000 0.7270
4 Pt 0.5000 0.5000 0.2356



Entry 6:
Material: ReC3F
Method: DFT, GGA-PBE
State: relaxed

## Properties
As for the uncorrected formation energy: 2992 meV per atom. For the electronic total energy, the calculation gives -27.03 eV/cell. The space group is Pm-3m, No. 221.

Cell lengths 3.5693, 3.5693, 3.5693 Å; angles 90.00, 90.00, 90.00 degrees
Positions (direct):
1 Re 0.0000 0.0000 0.0000
2 C 0.0000 0.5000 0.5000
3 C 0.5000 0.0000 0.5000
4 C 0.5000 0.5000 0.0000
5 F 0.5000 0.5000 0.5000